K2IrOs: optimized geometry, PBE.

a b c (Å): 5.2552 5.2552 5.2552
angles (deg): 60.00 60.00 60.00
Fractional coordinates of all 4 atoms:
K 0.2500 0.2500 0.2500
K 0.7500 0.7500 0.7500
Ir 0.0000 0.0000 0.0000
Os 0.5000 0.5000 0.5000

## Properties
- Energy of formation: 2.180 eV per atom
- N(E_F): 1.336 states/eV per atom
- Energy relative to the lowest polymorph listed for this composition: 1650 meV/atom
- SG: Fm-3m (225)
- Calculated total energy: -3.392 eV per atom